# 1
Here is an optimized crystal structure of Dy3Ho2Th from Alexandria via LeMat-Bulk. Energies are from PBE-GGA.

a = 6.789 Å, b = 6.789 Å, c = 11.171 Å
α = 106.11°, β = 106.11°, γ = 50.73°
Element x y z (fractional)
Dy 0.121 0.121 0.288
Dy 0.126 0.126 0.962
Dy 0.371 0.371 0.529
Dy 0.629 0.629 0.471
Dy 0.874 0.874 0.038
Dy 0.879 0.879 0.712
Ho 0.129 0.129 0.627
Ho 0.372 0.372 0.887
Ho 0.628 0.628 0.113
Ho 0.871 0.871 0.373
Th 0.390 0.390 0.214
Th 0.610 0.610 0.786

excess energy over the best structure of this formula in the dataset: 0.000 eV per atom
density: 9.187 Mg/m³
calculated formation energy: 0.131 eV/atom
E: -29.60 eV per formula unit



# 2
Here is an optimized crystal structure of CeLu2Sb from Alexandria via LeMat-Bulk. Energies are from PBE-GGA.

a = 4.785 Å, b = 4.785 Å, c = 4.604 Å
α = 90.00°, β = 90.00°, γ = 90.00°
Element x y z (fractional)
Ce 0.000 0.000 0.000
Lu 0.000 0.500 0.500
Lu 0.500 0.000 0.500
Sb 0.500 0.500 0.000

E_form (uncorrected): -0.440 eV per atom
excess energy over the best structure of this formula in the dataset: 0.000 eV per atom
density: 9.639 Mg/m³
E: -20.86 eV per formula unit